A geometry-optimized Ca2TaCoO6 structure, computed with PBE with a Hubbard U.

The structure in POSCAR format:
```
Ca2TaCoO6
1.0
5.403 0.000 -0.003
0.000 5.478 0.000
0.044 0.000 7.675
Ca Ta Co O
4 2 2 12
Cartesian
0.061 5.249 1.934
2.784 2.968 5.770
5.386 0.229 5.738
2.663 2.510 1.902
2.723 0.000 3.836
0.000 2.739 0.000
2.701 0.000 -0.001
0.022 2.739 3.838
1.592 3.907 0.298
4.315 4.311 4.135
3.855 1.572 7.374
1.132 1.168 3.538
1.572 3.879 3.523
4.295 4.338 7.359
3.875 1.599 4.149
1.152 1.140 0.313
4.998 2.839 1.944
2.319 5.378 5.783
0.449 2.639 5.729
3.128 0.100 1.890
```

ΔE to the lowest computed polymorph: 0 meV/atom
D(E_F): 0.0 states/eV/f.u.